Entry 1:
# Al2SiPt, optimized geometry, DFT PBE
# energy relative to the elements, uncorrected: -0.329 eV per atom
# uncorrected energy: -20.27 eV per formula unit
data_Al2SiPt
_chemical_formula_sum 'Al2 Si1 Pt1'
_symmetry_space_group_name_H-M 'P 1'
_symmetry_Int_Tables_number 1
_symmetry_space_group_name_Hall 'P 1'
_cell_length_a 4.7843
_cell_length_b 4.6248
_cell_length_c 3.9978
_cell_angle_alpha 66.94
_cell_angle_beta 62.80
_cell_angle_gamma 50.25
loop_
_atom_site_label
_atom_site_type_symbol
_atom_site_fract_x
_atom_site_fract_y
_atom_site_fract_z
Al1 Al 0.2500 0.2500 0.2500
Al2 Al 0.7500 0.7500 0.7500
Si1 Si 0.0000 0.0000 0.0000
Pt1 Pt 0.5000 0.5000 0.5000

Entry 2:
# Al2SiPt, optimized geometry, DFT PBE
# energy relative to the elements, uncorrected: -0.373 eV per atom
# uncorrected energy: -20.44 eV per formula unit
data_Al2SiPt
_chemical_formula_sum 'Al2 Si1 Pt1'
_symmetry_space_group_name_H-M 'P 1'
_symmetry_Int_Tables_number 1
_symmetry_space_group_name_Hall 'P 1'
_cell_length_a 4.5943
_cell_length_b 4.5943
_cell_length_c 2.9930
_cell_angle_alpha 90.09
_cell_angle_beta 90.09
_cell_angle_gamma 109.84
loop_
_atom_site_label
_atom_site_type_symbol
_atom_site_fract_x
_atom_site_fract_y
_atom_site_fract_z
Al1 Al 0.0000 0.5000 0.0000
Al2 Al 0.5000 0.0000 0.0000
Si1 Si 0.0000 0.0000 0.5000
Pt1 Pt 0.5000 0.5000 0.5000

What is the formula in the first record? Al2SiPt

What is the energy relative to the elements, uncorrected in the first record? -0.329 eV per atom